Entry 1:
The following is a DFT calculation (PBE) of crystalline Sm8Tl2Tc at its relaxed geometry.

## Properties
DOS at the Fermi energy   10.879 states/eV per cell
Space group   C2/m (12)
Calculated total energy   -54.3 eV/f.u.
Crystal system   monoclinic

abc: 9.2219 9.2219 7.0994
angles: 111.01 111.01 35.70
Last column: nearest neighbours and their distance in Å.
Atoms (fractional coordinates):
Sm  0.0083  0.0083  0.2676  2 Tc 3.30, 1 Tl 3.36, 8 Sm 3.42-3.70
Sm  0.1951  0.1951  0.7363  3 Tl 3.28-3.44, 7 Sm 3.41-3.61
Sm  0.3613  0.3613  0.5976  1 Tc 2.77
Sm  0.3925  0.3925  0.1006  1 Tc 2.75
Sm  0.6075  0.6075  0.8994  1 Tc 2.75
Sm  0.6387  0.6387  0.4024  1 Tc 2.77
Sm  0.8049  0.8049  0.2637  3 Tl 3.28-3.44, 7 Sm 3.41-3.61
Sm  0.9917  0.9917  0.7324  2 Tc 3.30, 1 Tl 3.36, 8 Sm 3.42-3.70
Tl  0.1853  0.1853  0.1888  9 Sm 3.28-3.46
Tl  0.8147  0.8147  0.8112  9 Sm 3.28-3.46
Tc  0.5000  0.5000  0.5000  4 Sm 2.75-2.77

Entry 2:
The following is a DFT calculation (PBE) of crystalline Rb2YPa2Te6 at its relaxed geometry.

## Properties
DOS at the Fermi energy   14.361 states/eV per cell
Space group   C2/m (12)
Crystal system   monoclinic
Uncorrected formation energy   -1.071 eV per atom

abc: 7.6388 7.6388 9.2581
angles: 97.89 97.89 120.02
Last column: nearest neighbours and their distance in Å.
Atoms (fractional coordinates):
Rb  0.1660  0.8340  0.0000  6 Te 3.69
Rb  0.8340  0.1660  0.0000  6 Te 3.69
Y  0.0000  0.0000  0.5000  6 Te 3.11-3.12
Pa  0.3329  0.6671  0.5000  6 Te 3.10-3.12
Pa  0.6671  0.3329  0.5000  6 Te 3.10-3.12
Te  0.0690  0.4007  0.7012  2 Pa 3.10-3.12, 1 Y 3.11
Te  0.2691  0.2691  0.2995  2 Pa 3.11, 1 Y 3.12
Te  0.4007  0.0690  0.7012  2 Pa 3.10-3.12, 1 Y 3.11
Te  0.5993  0.9310  0.2988  2 Pa 3.10-3.12, 1 Y 3.11
Te  0.7309  0.7309  0.7005  2 Pa 3.11, 1 Y 3.12
Te  0.9310  0.5993  0.2988  2 Pa 3.10-3.12, 1 Y 3.11

Entry 3:
The following is a DFT calculation (PBE) of crystalline Nd6MgPt at its relaxed geometry.

## Properties
DOS at the Fermi energy   9.924 states/eV per cell
Space group   P-1 (2)
Calculated total energy   -36.4 eV/f.u.
Crystal system   triclinic

abc: 6.9483 6.9528 7.9481
angles: 115.91 90.02 119.91
Last column: nearest neighbours and their distance in Å.
Atoms (fractional coordinates):
Nd  0.0323  0.3371  0.2655  1 Pt 2.85, 1 Mg 3.13
Nd  0.1948  0.2669  0.7341  1 Pt 2.85, 1 Mg 3.13
Nd  0.4270  0.9603  0.2658  1 Pt 2.85, 1 Mg 3.13
Nd  0.5730  0.0397  0.7342  1 Pt 2.85, 1 Mg 3.13
Nd  0.8052  0.7331  0.2659  1 Pt 2.85, 1 Mg 3.13
Nd  0.9677  0.6629  0.7345  1 Pt 2.85, 1 Mg 3.13
Mg  0.5000  0.5000  0.5000  6 Nd 3.13
Pt  0.0000  0.5000  0.0000  6 Nd 2.85

Entry 4:
The following is a DFT calculation (PBE) of crystalline KNaB2C at its relaxed geometry.

## Properties
DOS at the Fermi energy   1.718 states/eV per cell
Space group   P4/mmm (123)
Calculated total energy   -16.4 eV/f.u.
Crystal system   tetragonal

abc: 3.6117 3.6117 5.1333
angles: 90.00 90.00 90.00
Last column: nearest neighbours and their distance in Å.
Atoms (fractional coordinates):
K  0.0000  0.0000  0.0000  4 Na 2.55, 2 C 2.57
Na  0.5000  0.5000  0.0000  4 K 2.55
B  0.0000  0.5000  0.5000  2 C 1.81
B  0.5000  0.0000  0.5000  2 C 1.81
C  0.0000  0.0000  0.5000  4 B 1.81

Entry 5:
The following is a DFT calculation (PBE) of crystalline Te4Pt2Br at its relaxed geometry.

## Properties
DOS at the Fermi energy   4.647 states/eV per cell
Space group   C2/c (15)
Crystal system   monoclinic
Uncorrected formation energy   -0.277 eV per atom

abc: 7.7242 7.7242 8.6085
angles: 115.24 115.24 91.12
Last column: nearest neighbours and their distance in Å.
Atoms (fractional coordinates):
Te  0.1877  0.2090  0.4101  3 Pt 2.69-2.80, 1 Br 2.86
Te  0.2039  0.7197  0.9170  3 Pt 2.73-2.85
Te  0.2090  0.1877  0.9101  3 Pt 2.69-2.80, 1 Br 2.86
Te  0.2803  0.7961  0.5830  3 Pt 2.73-2.85
Te  0.7197  0.2039  0.4170  3 Pt 2.73-2.85
Te  0.7910  0.8123  0.0899  3 Pt 2.69-2.80, 1 Br 2.86
Te  0.7961  0.2803  0.0830  3 Pt 2.73-2.85
Te  0.8123  0.7910  0.5899  3 Pt 2.69-2.80, 1 Br 2.86
Pt  0.0000  0.0000  0.0000  6 Te 2.69-2.80
Pt  0.0000  0.0000  0.5000  6 Te 2.69-2.80
Pt  0.0000  0.5000  0.5000  6 Te 2.71-2.85
Pt  0.5000  0.0000  0.0000  6 Te 2.71-2.85
Br  0.4417  0.5583  0.2500  2 Te 2.86
Br  0.5583  0.4417  0.7500  2 Te 2.86

Entry 6:
The following is a DFT calculation (PBE) of crystalline NaPa2SO8 at its relaxed geometry.

## Properties
DOS at the Fermi energy   6.874 states/eV per cell
Space group   P-3m1 (164)
Crystal system   trigonal
Uncorrected formation energy   -2.252 eV per atom

abc: 5.0817 5.0817 7.4698
angles: 90.00 90.00 120.00
Last column: nearest neighbours and their distance in Å.
Atoms (fractional coordinates):
Na  0.0000  0.0000  0.0000  12 O 3.01-3.10
Pa  0.3333  0.6667  0.3457  1 O 1.89
Pa  0.6667  0.3333  0.6543  1 O 1.89
S  0.0000  0.0000  0.5000  6 O 1.68
O  0.1572  0.3145  0.6281  1 S 1.68
O  0.1572  0.8428  0.6281  1 S 1.68
O  0.3145  0.1572  0.3719  1 S 1.68
O  0.3333  0.6667  0.0926  1 Pa 1.89
O  0.6667  0.3333  0.9074  1 Pa 1.89
O  0.6855  0.8428  0.6281  1 S 1.68
O  0.8428  0.1572  0.3719  1 S 1.68
O  0.8428  0.6855  0.3719  1 S 1.68

Entry 7:
The following is a DFT calculation (PBE) of crystalline Co2TcI at its relaxed geometry.

## Properties
DOS at the Fermi energy   57.216 states/eV per cell
Space group   Fm-3m (225)
Crystal system   cubic
Uncorrected formation energy   1.054 eV per atom

abc: 6.2314 6.2314 6.2314
angles: 90.00 90.00 90.00
Last column: nearest neighbours and their distance in Å.
Atoms (fractional coordinates):
Co  0.2500  0.2500  0.2500  4 Tc 2.70, 4 I 2.70
Co  0.2500  0.2500  0.7500  4 Tc 2.70, 4 I 2.70
Co  0.2500  0.7500  0.2500  4 Tc 2.70, 4 I 2.70
Co  0.2500  0.7500  0.7500  4 Tc 2.70, 4 I 2.70
Co  0.7500  0.2500  0.2500  4 Tc 2.70, 4 I 2.70
Co  0.7500  0.2500  0.7500  4 Tc 2.70, 4 I 2.70
Co  0.7500  0.7500  0.2500  4 Tc 2.70, 4 I 2.70
Co  0.7500  0.7500  0.7500  4 I 2.70, 4 Tc 2.70
Tc  0.0000  0.0000  0.0000  8 Co 2.70
Tc  0.0000  0.5000  0.5000  8 Co 2.70
Tc  0.5000  0.0000  0.5000  8 Co 2.70
Tc  0.5000  0.5000  0.0000  8 Co 2.70
I  0.0000  0.0000  0.5000  8 Co 2.70
I  0.0000  0.5000  0.0000  8 Co 2.70
I  0.5000  0.0000  0.0000  8 Co 2.70
I  0.5000  0.5000  0.5000  8 Co 2.70

Entry 8:
The following is a DFT calculation (PBE) of crystalline SiMoSe2 at its relaxed geometry.

## Properties
DOS at the Fermi energy   4.543 states/eV per cell
Space group   C2/m (12)
Crystal system   monoclinic
Uncorrected formation energy   0.221 eV per atom

abc: 8.7414 3.2904 4.9831
angles: 90.00 96.82 90.00
Last column: nearest neighbours and their distance in Å.
Atoms (fractional coordinates):
Si  0.0000  0.0000  0.0000  2 Se 2.43
Si  0.5000  0.5000  0.0000  2 Se 2.43
Mo  0.0000  0.5000  0.5000  6 Se 2.63-2.88
Mo  0.5000  0.0000  0.5000  6 Se 2.63-2.88
Se  0.2123  0.0000  0.7275  1 Si 2.43, 2 Mo 2.63
Se  0.2877  0.5000  0.2725  1 Si 2.43, 2 Mo 2.63
Se  0.7123  0.5000  0.7275  1 Si 2.43, 2 Mo 2.63
Se  0.7877  0.0000  0.2725  1 Si 2.43, 2 Mo 2.63

Entry 9:
The following is a DFT calculation (PBE) of crystalline Pm4SnO at its relaxed geometry.

## Properties
DOS at the Fermi energy   14.627 states/eV per cell
Space group   P2_1/m (11)
Crystal system   monoclinic
Uncorrected formation energy   -1.092 eV per atom

abc: 4.9468 9.4755 7.3674
angles: 90.00 90.01 90.00
Last column: nearest neighbours and their distance in Å.
Atoms (fractional coordinates):
Pm  0.2495  0.2500  0.2233  1 O 2.33
Pm  0.2501  0.0536  0.7088  1 O 2.37
Pm  0.2501  0.4464  0.7088  1 O 2.37
Pm  0.2504  0.7500  0.0725  2 O 2.48
Pm  0.7496  0.2500  0.9275  2 O 2.48
Pm  0.7499  0.5536  0.2912  1 O 2.37
Pm  0.7499  0.9464  0.2912  1 O 2.37
Pm  0.7505  0.7500  0.7767  1 O 2.33
Sn  0.2506  0.7500  0.4993  9 Pm 3.14-3.46
Sn  0.7494  0.2500  0.5007  9 Pm 3.14-3.46
O  0.2492  0.2500  0.9072  5 Pm 2.33-2.48
O  0.7508  0.7500  0.0928  5 Pm 2.33-2.48

Entry 10:
The following is a DFT calculation (PBE) of crystalline DyB2O4 at its relaxed geometry.

## Properties
DOS at the Fermi energy   0.502 states/eV per cell
Space group   R-3m (166)
Crystal system   trigonal
Uncorrected formation energy   -1.898 eV per atom

abc: 10.5131 10.5131 10.5131
angles: 15.12 15.12 15.12
Last column: nearest neighbours and their distance in Å.
Atoms (fractional coordinates):
Dy  0.0000  0.0000  0.0000  6 O 2.29
B  0.2367  0.2367  0.2367  1 O 1.38
B  0.7633  0.7633  0.7633  1 O 1.38
O  0.1133  0.1133  0.1133  3 B 1.68
O  0.2808  0.2808  0.2808  1 B 1.38
O  0.7192  0.7192  0.7192  1 B 1.38
O  0.8867  0.8867  0.8867  3 B 1.68

Entry 11:
The following is a DFT calculation (PBE) of crystalline Cu3AsS at its relaxed geometry.

## Properties
DOS at the Fermi energy   5.659 states/eV per cell
Space group   P2_1/m (11)
Crystal system   monoclinic
Uncorrected formation energy   -0.042 eV per atom

abc: 5.6552 3.9610 7.7140
angles: 90.00 93.17 90.00
Last column: nearest neighbours and their distance in Å.
Atoms (fractional coordinates):
Cu  0.0007  0.2500  0.3660  1 S 2.31, 3 As 2.46-2.47
Cu  0.0277  0.7500  0.1255  3 S 2.31-2.42, 1 As 2.52
Cu  0.4962  0.2500  0.3735  1 S 2.31, 3 As 2.43-2.49
Cu  0.5038  0.7500  0.6265  1 S 2.31, 3 As 2.43-2.49
Cu  0.9723  0.2500  0.8745  3 S 2.31-2.42, 1 As 2.52
Cu  0.9993  0.7500  0.6340  1 S 2.31, 3 As 2.46-2.47
As  0.2572  0.2500  0.6352  7 Cu 2.43-2.52
As  0.7428  0.7500  0.3648  7 Cu 2.43-2.52
S  0.2370  0.2500  0.1315  5 Cu 2.31-2.42
S  0.7630  0.7500  0.8685  5 Cu 2.31-2.42

Entry 12:
The following is a DFT calculation (PBE) of crystalline LaNdLuSn at its relaxed geometry.

## Properties
DOS at the Fermi energy   26.527 states/eV per cell
Space group   F-43m (216)
Calculated total energy   -19.3 eV/f.u.
Crystal system   cubic

abc: 7.8649 7.8649 7.8649
angles: 90.00 90.00 90.00
Last column: nearest neighbours and their distance in Å.
Atoms (fractional coordinates):
La  0.0000  0.0000  0.0000  4 Sn 3.41, 4 Lu 3.41
La  0.0000  0.5000  0.5000  4 Sn 3.41, 4 Lu 3.41
La  0.5000  0.0000  0.5000  4 Sn 3.41, 4 Lu 3.41
La  0.5000  0.5000  0.0000  4 Sn 3.41, 4 Lu 3.41
Nd  0.0000  0.0000  0.5000  4 Sn 3.41, 4 Lu 3.41
Nd  0.0000  0.5000  0.0000  4 Sn 3.41, 4 Lu 3.41
Nd  0.5000  0.0000  0.0000  4 Sn 3.41, 4 Lu 3.41
Nd  0.5000  0.5000  0.5000  4 Sn 3.41, 4 Lu 3.41
Lu  0.2500  0.2500  0.2500  4 La 3.41, 4 Nd 3.41
Lu  0.2500  0.7500  0.7500  4 La 3.41, 4 Nd 3.41
Lu  0.7500  0.2500  0.7500  4 La 3.41, 4 Nd 3.41
Lu  0.7500  0.7500  0.2500  4 La 3.41, 4 Nd 3.41
Sn  0.2500  0.2500  0.7500  4 La 3.41, 4 Nd 3.41
Sn  0.2500  0.7500  0.2500  4 La 3.41, 4 Nd 3.41
Sn  0.7500  0.2500  0.2500  4 La 3.41, 4 Nd 3.41
Sn  0.7500  0.7500  0.7500  4 La 3.41, 4 Nd 3.41

no.,magnetization (μB per formula unit)
1,0.00
2,3.03
3,0.00
4,0.00
5,0.00
6,1.00
7,4.20
8,0.00
9,0.00
10,0.00
11,0.00
12,0.00